[1]
# PBE MgBe2NF, relaxed
# - E_form (uncorrected) (eV/atom) = -0.91
# - raw total energy (eV/atom) = -4.758
# - energy relative to the lowest polymorph listed for this composition (meV/atom) = 0
# - symmetry = P4/mmm, No. 123
# - theoretical density (g/cm³) = 1.9
# - density of states at the Fermi level (states/eV per cell) = 1.42
data_MgBe2NF
_cell_length_a 3.184
_cell_length_b 6.543
_cell_length_c 3.184
_cell_angle_alpha 90.00
_cell_angle_beta 90.00
_cell_angle_gamma 90.00
_symmetry_space_group_name_H-M 'P 1'
_symmetry_Int_Tables_number 1
loop_
_symmetry_equiv_pos_as_xyz
'x,y,z'
loop_
_atom_site_label
_atom_site_fract_x
_atom_site_fract_y
_atom_site_fract_z
Be1 0.000 0.000 0.500
Be2 0.500 0.000 0.000
Mg1 0.000 0.500 0.000
N1 0.000 0.000 0.000
F1 0.500 0.500 0.500

[2]
# PBE Na2MgBeF6, relaxed
# - E_form (uncorrected) (eV/atom) = -2.98
# - raw total energy (eV/atom) = -4.903
# - symmetry = P-3m1, No. 164
# - theoretical density (g/cm³) = 2.5
# - density of states at the Fermi level (states/eV per cell) = 0.00
data_Na2MgBeF6
_cell_length_a 4.966
_cell_length_b 5.419
_cell_length_c 5.419
_cell_angle_alpha 120.00
_cell_angle_beta 90.00
_cell_angle_gamma 90.00
_symmetry_space_group_name_H-M 'P 1'
_symmetry_Int_Tables_number 1
loop_
_symmetry_equiv_pos_as_xyz
'x,y,z'
loop_
_atom_site_label
_atom_site_fract_x
_atom_site_fract_y
_atom_site_fract_z
Na1 0.100 0.333 0.667
Na2 0.900 0.667 0.333
Mg1 0.500 0.000 0.000
Be1 0.000 0.000 0.000
F1 0.784 0.150 0.301
F2 0.784 0.150 0.850
F3 0.784 0.699 0.850
F4 0.216 0.850 0.150
F5 0.216 0.301 0.150
F6 0.216 0.850 0.699

[3]
# PBE Na2MgBeF, relaxed
# - E_form (uncorrected) (eV/atom) = -0.03
# - raw total energy (eV/atom) = -1.998
# - symmetry = P4/mmm, No. 123
# - theoretical density (g/cm³) = 1.2
# - density of states at the Fermi level (states/eV per cell) = 3.66
data_Na2MgBeF
_cell_length_a 5.286
_cell_length_b 4.847
_cell_length_c 5.286
_cell_angle_alpha 90.00
_cell_angle_beta 90.00
_cell_angle_gamma 90.00
_symmetry_space_group_name_H-M 'P 1'
_symmetry_Int_Tables_number 1
loop_
_symmetry_equiv_pos_as_xyz
'x,y,z'
loop_
_atom_site_label
_atom_site_fract_x
_atom_site_fract_y
_atom_site_fract_z
Na1 0.000 0.000 0.500
Na2 0.500 0.000 0.000
Mg1 0.000 0.500 0.000
Be1 0.000 0.000 0.000
F1 0.500 0.500 0.500

[4]
# PBE MgBePbF6, relaxed
# - E_form (uncorrected) (eV/atom) = -2.96
# - raw total energy (eV/atom) = -5.213
# - symmetry = P312, No. 149
# - theoretical density (g/cm³) = 5.0
# - density of states at the Fermi level (states/eV per cell) = 0.00
data_MgBePbF6
_cell_length_a 5.069
_cell_length_b 5.069
_cell_length_c 5.275
_cell_angle_alpha 90.00
_cell_angle_beta 90.00
_cell_angle_gamma 60.00
_symmetry_space_group_name_H-M 'P 1'
_symmetry_Int_Tables_number 1
loop_
_symmetry_equiv_pos_as_xyz
'x,y,z'
loop_
_atom_site_label
_atom_site_fract_x
_atom_site_fract_y
_atom_site_fract_z
Mg1 0.667 0.667 0.500
Be1 0.333 0.333 0.500
Pb1 0.000 0.000 0.000
F1 0.030 0.362 0.305
F2 0.362 0.030 0.695
F3 0.608 0.362 0.695
F4 0.030 0.608 0.695
F5 0.362 0.608 0.305
F6 0.608 0.030 0.305

[5]
# PBE MgBePtF2, relaxed
# - E_form (uncorrected) (eV/atom) = -0.13
# - raw total energy (eV/atom) = -3.156
# - symmetry = P4/mmm, No. 123
# - theoretical density (g/cm³) = 4.7
# - density of states at the Fermi level (states/eV per cell) = 1.62
data_MgBePtF2
_cell_length_a 4.163
_cell_length_b 5.375
_cell_length_c 4.163
_cell_angle_alpha 90.00
_cell_angle_beta 90.00
_cell_angle_gamma 90.00
_symmetry_space_group_name_H-M 'P 1'
_symmetry_Int_Tables_number 1
loop_
_symmetry_equiv_pos_as_xyz
'x,y,z'
loop_
_atom_site_label
_atom_site_fract_x
_atom_site_fract_y
_atom_site_fract_z
Be1 0.500 0.500 0.500
Mg1 0.000 0.500 0.000
Pt1 0.000 0.000 0.000
F1 0.000 0.000 0.500
F2 0.500 0.000 0.000

[6]
# PBE Rb2MgBeF6, relaxed
# - E_form (uncorrected) (eV/atom) = -3.02
# - raw total energy (eV/atom) = -4.872
# - symmetry = I4/mmm, No. 139
# - theoretical density (g/cm³) = 3.8
# - density of states at the Fermi level (states/eV per cell) = 0.00
data_Rb2MgBeF6
_cell_length_a 5.422
_cell_length_b 5.422
_cell_length_c 6.090
_cell_angle_alpha 63.56
_cell_angle_beta 63.56
_cell_angle_gamma 90.00
_symmetry_space_group_name_H-M 'P 1'
_symmetry_Int_Tables_number 1
loop_
_symmetry_equiv_pos_as_xyz
'x,y,z'
loop_
_atom_site_label
_atom_site_fract_x
_atom_site_fract_y
_atom_site_fract_z
Be1 0.500 0.500 0.000
Mg1 0.000 0.000 0.000
Rb1 0.750 0.250 0.500
Rb2 0.250 0.750 0.500
F1 0.205 0.205 0.590
F2 0.795 0.795 0.410
F3 0.280 0.280 0.000
F4 0.720 0.720 0.000
F5 0.720 0.280 0.000
F6 0.280 0.720 0.000

[7]
# PBE Rb2Mg2Be3F12, relaxed
# - E_form (uncorrected) (eV/atom) = -3.32
# - raw total energy (eV/atom) = -5.359
# - symmetry = P2_13, No. 198
# - theoretical density (g/cm³) = 3.1
# - density of states at the Fermi level (states/eV per cell) = 0.00
data_Rb2Mg2Be3F12
_cell_length_a 10.106
_cell_length_b 10.106
_cell_length_c 10.106
_cell_angle_alpha 90.00
_cell_angle_beta 90.00
_cell_angle_gamma 90.00
_symmetry_space_group_name_H-M 'P 1'
_symmetry_Int_Tables_number 1
loop_
_symmetry_equiv_pos_as_xyz
'x,y,z'
loop_
_atom_site_label
_atom_site_fract_x
_atom_site_fract_y
_atom_site_fract_z
Rb1 0.044 0.044 0.044
Rb2 0.456 0.956 0.544
Rb3 0.956 0.544 0.456
Rb4 0.544 0.456 0.956
Rb5 0.816 0.816 0.816
Rb6 0.684 0.184 0.316
Rb7 0.184 0.316 0.684
Rb8 0.316 0.684 0.184
Mg1 0.335 0.335 0.335
Mg2 0.165 0.665 0.835
Mg3 0.665 0.835 0.165
Mg4 0.835 0.165 0.665
Mg5 0.603 0.603 0.603
Mg6 0.897 0.397 0.103
Mg7 0.397 0.103 0.897
Mg8 0.103 0.897 0.397
Be1 0.021 0.209 0.375
Be2 0.479 0.791 0.875
Be3 0.979 0.709 0.125
Be4 0.375 0.021 0.209
Be5 0.521 0.291 0.625
Be6 0.875 0.479 0.791
Be7 0.125 0.979 0.709
Be8 0.625 0.521 0.291
Be9 0.209 0.375 0.021
Be10 0.709 0.125 0.979
Be11 0.291 0.625 0.521
Be12 0.791 0.875 0.479
F1 0.016 0.062 0.330
F2 0.484 0.938 0.830
F3 0.984 0.562 0.170
F4 0.330 0.016 0.062
F5 0.516 0.438 0.670
F6 0.830 0.484 0.938
F7 0.170 0.984 0.562
F8 0.670 0.516 0.438
F9 0.062 0.330 0.016
F10 0.562 0.170 0.984
F11 0.438 0.670 0.516
F12 0.938 0.830 0.484
F13 0.271 0.495 0.438
F14 0.229 0.505 0.938
F15 0.729 0.995 0.062
F16 0.438 0.271 0.495
F17 0.771 0.005 0.562
F18 0.938 0.229 0.505
F19 0.062 0.729 0.995
F20 0.562 0.771 0.005
F21 0.495 0.438 0.271
F22 0.995 0.062 0.729
F23 0.005 0.562 0.771
F24 0.505 0.938 0.229
F25 0.048 0.799 0.232
F26 0.452 0.201 0.732
F27 0.952 0.299 0.268
F28 0.232 0.048 0.799
F29 0.548 0.701 0.768
F30 0.732 0.452 0.201
F31 0.268 0.952 0.299
F32 0.768 0.548 0.701
F33 0.799 0.232 0.048
F34 0.299 0.268 0.952
F35 0.701 0.768 0.548
F36 0.201 0.732 0.452
F37 0.166 0.255 0.399
F38 0.334 0.745 0.899
F39 0.834 0.755 0.101
F40 0.399 0.166 0.255
F41 0.666 0.245 0.601
F42 0.899 0.334 0.745
F43 0.101 0.834 0.755
F44 0.601 0.666 0.245
F45 0.255 0.399 0.166
F46 0.755 0.101 0.834
F47 0.245 0.601 0.666
F48 0.745 0.899 0.334

[8]
# PBE MgSc2BeF, relaxed
# - E_form (uncorrected) (eV/atom) = 0.16
# - raw total energy (eV/atom) = -3.811
# - symmetry = P4/mmm, No. 123
# - theoretical density (g/cm³) = 2.1
# - density of states at the Fermi level (states/eV per cell) = 6.45
data_MgSc2BeF
_cell_length_a 5.577
_cell_length_b 3.614
_cell_length_c 5.577
_cell_angle_alpha 90.00
_cell_angle_beta 90.00
_cell_angle_gamma 90.00
_symmetry_space_group_name_H-M 'P 1'
_symmetry_Int_Tables_number 1
loop_
_symmetry_equiv_pos_as_xyz
'x,y,z'
loop_
_atom_site_label
_atom_site_fract_x
_atom_site_fract_y
_atom_site_fract_z
Sc1 0.000 0.000 0.500
Sc2 0.500 0.000 0.000
Be1 0.500 0.500 0.500
Mg1 0.000 0.000 0.000
F1 0.000 0.500 0.000

[9]
# PBE MgBeSnF6, relaxed
# - E_form (uncorrected) (eV/atom) = -2.90
# - raw total energy (eV/atom) = -5.187
# - symmetry = P312, No. 149
# - theoretical density (g/cm³) = 3.9
# - density of states at the Fermi level (states/eV per cell) = 0.00
data_MgBeSnF6
_cell_length_a 5.052
_cell_length_b 5.052
_cell_length_c 5.167
_cell_angle_alpha 90.00
_cell_angle_beta 90.00
_cell_angle_gamma 60.00
_symmetry_space_group_name_H-M 'P 1'
_symmetry_Int_Tables_number 1
loop_
_symmetry_equiv_pos_as_xyz
'x,y,z'
loop_
_atom_site_label
_atom_site_fract_x
_atom_site_fract_y
_atom_site_fract_z
Mg1 0.667 0.667 0.500
Be1 0.333 0.333 0.500
Sn1 0.000 0.000 0.000
F1 0.030 0.358 0.301
F2 0.358 0.030 0.699
F3 0.612 0.358 0.699
F4 0.030 0.612 0.699
F5 0.358 0.612 0.301
F6 0.612 0.030 0.301

[10]
# PBE MgTa2BeF, relaxed
# - E_form (uncorrected) (eV/atom) = 1.80
# - raw total energy (eV/atom) = -4.381
# - symmetry = P4/mmm, No. 123
# - theoretical density (g/cm³) = 7.2
# - density of states at the Fermi level (states/eV per cell) = 5.04
data_MgTa2BeF
_cell_length_a 4.867
_cell_length_b 4.018
_cell_length_c 4.867
_cell_angle_alpha 90.00
_cell_angle_beta 90.00
_cell_angle_gamma 90.00
_symmetry_space_group_name_H-M 'P 1'
_symmetry_Int_Tables_number 1
loop_
_symmetry_equiv_pos_as_xyz
'x,y,z'
loop_
_atom_site_label
_atom_site_fract_x
_atom_site_fract_y
_atom_site_fract_z
Be1 0.000 0.500 0.000
Mg1 0.000 0.000 0.000
F1 0.500 0.500 0.500
Ta1 0.000 0.000 0.500
Ta2 0.500 0.000 0.000

[11]
# PBE MgBe2TlF8, relaxed
# - E_form (uncorrected) (eV/atom) = -2.88
# - raw total energy (eV/atom) = -5.079
# - symmetry = R-3, No. 148
# - theoretical density (g/cm³) = 4.8
# - density of states at the Fermi level (states/eV per cell) = 3.44
data_MgBe2TlF8
_cell_length_a 4.767
_cell_length_b 4.767
_cell_length_c 7.506
_cell_angle_alpha 71.49
_cell_angle_beta 71.49
_cell_angle_gamma 60.00
_symmetry_space_group_name_H-M 'P 1'
_symmetry_Int_Tables_number 1
loop_
_symmetry_equiv_pos_as_xyz
'x,y,z'
loop_
_atom_site_label
_atom_site_fract_x
_atom_site_fract_y
_atom_site_fract_z
Mg1 0.000 0.000 0.000
Be1 0.255 0.255 0.236
Be2 0.745 0.745 0.764
Tl1 0.500 0.500 0.500
F1 0.179 0.179 0.464
F2 0.592 0.265 0.174
F3 0.821 0.821 0.536
F4 0.969 0.592 0.174
F5 0.031 0.408 0.826
F6 0.265 0.969 0.174
F7 0.735 0.031 0.826
F8 0.408 0.735 0.826